Entry 1:
A relaxed structure of Re3Os2Ru4, computed with PBE-GGA.

Results
Its density is 16.844 g cm⁻³. The space group is No. 15. For the electronic total energy, the calculation gives -10.53 eV/atom.

a b c (Å): 4.726 7.715 7.715
angles (deg): 72.50 82.66 82.66
Positions (direct):
Re1 0.250 0.409 0.591
Re2 0.906 0.072 0.264
Re3 0.094 0.928 0.736
Re4 0.406 0.264 0.072
Re5 0.750 0.591 0.409
Re6 0.594 0.736 0.928
Ru1 0.510 0.090 0.813
Ru2 0.490 0.910 0.187
Ru3 0.649 0.852 0.574
Ru4 0.351 0.148 0.426
Ru5 0.149 0.574 0.852
Ru6 0.990 0.187 0.910
Ru7 0.010 0.813 0.090
Ru8 0.851 0.426 0.148
Os1 0.319 0.524 0.236
Os2 0.181 0.764 0.476
Os3 0.681 0.476 0.764
Os4 0.819 0.236 0.524

***

Entry 2:
A relaxed structure of KCoAgP, computed with PBE-GGA.

Results
Its density is 4.460 g cm⁻³. The space group is No. 129. For the electronic total energy, the calculation gives -4.45 eV/atom.

a b c (Å): 3.794 3.794 12.255
angles (deg): 90.00 90.00 90.00
Positions (direct):
Ag1 0.750 0.250 0.500
Ag2 0.250 0.750 0.500
P1 0.250 0.250 0.094
P2 0.750 0.750 0.906
K1 0.750 0.750 0.252
K2 0.250 0.250 0.748
Co1 0.250 0.750 0.000
Co2 0.750 0.250 0.000

***

Entry 3:
A relaxed structure of ErZr2Sn, computed with PBE-GGA.

Results
As for the relative energy among the computed polymorphs: 0 meV per atom. Its density is 7.664 g cm⁻³. The space group is No. 11.

a b c (Å): 4.375 4.374 10.829
angles (deg): 101.60 90.00 90.00
Positions (direct):
Zr1 0.750 0.053 0.107
Zr2 0.250 0.947 0.893
Zr3 0.750 0.445 0.890
Zr4 0.250 0.555 0.110
Er1 0.750 0.689 0.380
Er2 0.250 0.311 0.620
Sn1 0.750 0.839 0.676
Sn2 0.250 0.161 0.324